## FeGeSbTe2 (SCAN)

Data for a PBEsol-optimized structure of FeGeSbTe2.

Results
Formation energy without anion corrections ... 0.58 eV per atom
Electronic total energy ... -29.2153 eV per atom
DOS(E_F) ... 4.6 states/eV/f.u.

a = 4.748 Å, b = 5.065 Å, c = 5.065 Å
α = 90.00°, β = 90.00°, γ = 90.00°
Each line ends with the local moment (μB).
Fractional positions:
Te: 0.000 0.000 0.500  0.12
Ge: 0.500 0.500 0.500  -0.09
Fe: 0.000 0.000 0.000  2.07
Sb: 0.500 0.000 0.000  0.00
Te: 0.000 0.500 0.000  0.12

---

## ScFeGe2 (SCAN)

Data for a PBEsol-optimized structure of ScFeGe2.

Results
Electronic total energy ... -18.1813 eV per atom
Energy relative to the elements ... -0.546 eV/atom
DOS(E_F) ... 1.7 states/eV/f.u.

a = 7.888 Å, b = 9.039 Å, c = 9.937 Å
α = 90.00°, β = 90.00°, γ = 90.00°
Each line ends with the local moment (μB).
Fractional positions:
Ge: 0.500 0.878 0.902  -0.03
Sc: 0.000 0.335 0.322  -0.12
Sc: 0.244 0.174 0.548  -0.09
Ge: 0.000 0.128 0.103  -0.05
Sc: 0.244 0.826 0.452  -0.09
Ge: 0.000 0.461 0.878  0.00
Ge: 0.500 0.542 0.125  -0.05
Fe: 0.755 0.000 0.000  1.91
Ge: 0.500 0.622 0.402  -0.03
Ge: 0.500 0.958 0.625  -0.05
Ge: 0.000 0.372 0.603  -0.05
Ge: 0.659 0.838 0.180  -0.07
Ge: 0.341 0.838 0.180  -0.07
Fe: 0.751 0.586 0.245  1.70
Fe: 0.751 0.914 0.745  1.70
Ge: 0.659 0.162 0.820  -0.07
Fe: 0.245 0.000 0.000  1.91
Fe: 0.751 0.414 0.755  1.70
Sc: 0.000 0.665 0.678  -0.12
Ge: 0.000 0.039 0.378  0.00
Fe: 0.245 0.500 0.500  1.91
Sc: 0.756 0.826 0.452  -0.09
Fe: 0.755 0.500 0.500  1.91
Sc: 0.244 0.326 0.048  -0.09
Fe: 0.249 0.914 0.745  1.70
Sc: 0.000 0.835 0.178  -0.12
Sc: 0.244 0.674 0.952  -0.09
Ge: 0.500 0.458 0.875  -0.05
Sc: 0.000 0.165 0.822  -0.12
Ge: 0.000 0.872 0.897  -0.05
Fe: 0.249 0.086 0.255  1.70
Ge: 0.500 0.042 0.375  -0.05
Ge: 0.000 0.628 0.397  -0.05
Ge: 0.341 0.338 0.320  -0.07
Ge: 0.500 0.378 0.598  -0.03
Sc: 0.756 0.174 0.548  -0.09
Ge: 0.341 0.162 0.820  -0.07
Ge: 0.659 0.662 0.680  -0.07
Fe: 0.751 0.086 0.255  1.70
Fe: 0.249 0.586 0.245  1.70
Ge: 0.341 0.662 0.680  -0.07
Sc: 0.756 0.326 0.048  -0.09
Fe: 0.249 0.414 0.755  1.70
Ge: 0.000 0.539 0.122  0.00
Ge: 0.500 0.122 0.098  -0.03
Ge: 0.000 0.961 0.622  0.00
Ge: 0.659 0.338 0.320  -0.07
Sc: 0.756 0.674 0.952  -0.09

---

## Fe2SiGe (SCAN)

Data for a PBEsol-optimized structure of Fe2SiGe.

Results
Formation energy without anion corrections ... -0.14 eV per atom
Electronic total energy ... -16.4770 eV per atom
DOS(E_F) ... 0.2 states/eV/f.u.

a = 3.947 Å, b = 3.947 Å, c = 3.947 Å
α = 60.00°, β = 60.00°, γ = 60.00°
Fractional positions:
Ge: 0.500 0.500 0.500
Fe: 0.750 0.750 0.750
Fe: 0.250 0.250 0.250
Si: 0.000 0.000 0.000

---

## SmFe2Ge2 (SCAN)

Data for a PBEsol-optimized structure of SmFe2Ge2.

Results
Electronic total energy ... -24.2062 eV per atom
Energy relative to the elements ... -0.431 eV/atom
DOS(E_F) ... 2.5 states/eV/f.u.

a = 4.003 Å, b = 4.003 Å, c = 5.678 Å
α = 110.64°, β = 110.64°, γ = 90.00°
Each line ends with the local moment (μB).
Fractional positions:
Fe: 0.250 0.750 0.500  0.88
Sm: 0.000 0.000 0.000  -0.02
Ge: 0.366 0.366 0.732  -0.06
Fe: 0.750 0.250 0.500  0.88
Ge: 0.634 0.634 0.268  -0.06

---

## Ta3FeGe (SCAN)

Data for a PBEsol-optimized structure of Ta3FeGe.

Results
Electronic total energy ... -46.6656 eV per atom
Energy relative to the elements ... 0.728 eV/atom
DOS(E_F) ... 4.4 states/eV/f.u.

a = 4.512 Å, b = 4.512 Å, c = 4.512 Å
α = 90.00°, β = 90.00°, γ = 90.00°
Fractional positions:
Fe: 0.000 0.000 0.000
Ta: 0.500 0.000 0.000
Ta: 0.000 0.500 0.000
Ta: 0.000 0.000 0.500
Ge: 0.500 0.500 0.500

---

## TaFeGe (SCAN)

Data for a PBEsol-optimized structure of TaFeGe.

Results
Electronic total energy ... -34.8754 eV per atom
Energy relative to the elements ... -0.275 eV/atom
DOS(E_F) ... 2.1 states/eV/f.u.

a = 3.802 Å, b = 6.189 Å, c = 6.996 Å
α = 90.00°, β = 90.00°, γ = 90.00°
Fractional positions:
Ge: 0.250 0.230 0.612
Ge: 0.750 0.270 0.112
Ge: 0.250 0.730 0.888
Ta: 0.750 0.014 0.804
Ta: 0.750 0.514 0.696
Fe: 0.750 0.144 0.434
Ta: 0.250 0.486 0.304
Fe: 0.250 0.856 0.566
Fe: 0.250 0.356 0.934
Ta: 0.250 0.986 0.196
Ge: 0.750 0.770 0.388
Fe: 0.750 0.644 0.066

---

## Fe2Ge2Te (SCAN)

Data for a PBEsol-optimized structure of Fe2Ge2Te.

Results
Formation energy without anion corrections ... 0.27 eV per atom
Electronic total energy ... -22.0684 eV per atom
DOS(E_F) ... 2.4 states/eV/f.u.

a = 3.603 Å, b = 3.603 Å, c = 6.294 Å
α = 106.63°, β = 106.63°, γ = 90.00°
Each line ends with the local moment (μB).
Fractional positions:
Ge: 0.250 0.750 0.500  -0.09
Te: 0.000 0.000 0.000  -0.05
Ge: 0.750 0.250 0.500  -0.09
Fe: 0.387 0.387 0.775  2.04
Fe: 0.613 0.613 0.225  2.04

---

## TiFeGe3 (SCAN)

Data for a PBEsol-optimized structure of TiFeGe3.

Results
Electronic total energy ... -17.8496 eV per atom
Energy relative to the elements ... 0.435 eV/atom
DOS(E_F) ... 4.1 states/eV/f.u.

a = 4.456 Å, b = 4.456 Å, c = 4.456 Å
α = 90.00°, β = 90.00°, γ = 90.00°
Each line ends with the local moment (μB).
Fractional positions:
Ge: 0.000 0.000 0.500  0.04
Ge: 0.500 0.000 0.000  0.04
Ge: 0.000 0.500 0.000  0.04
Ti: 0.500 0.500 0.500  1.68
Fe: 0.000 0.000 0.000  1.91

---

> Among the records above, which one has the highest electronic total energy?

Fe2SiGe